(1)
{
  "formula": "ThSc2Ru",
  "functional": "PBE-GGA",
  "state": "relaxed",
  "lattice": [[3.722, -0.001, 0.000], [-1.859, 5.687, 0.000], [0.000, 0.000, 8.918]],
  "species": ["Th", "Th", "Sc", "Sc", "Sc", "Sc", "Ru", "Ru"],
  "fractional_positions": [[0.068, 0.135, 0.750], [0.932, 0.865, 0.250], [0.354, 0.709, 0.568], [0.646, 0.291, 0.432], [0.354, 0.709, 0.932], [0.646, 0.291, 0.068], [0.749, 0.497, 0.750], [0.251, 0.503, 0.250]],
  "spacegroup": "Cmcm",
  "polymorph_energy_mev_per_atom": 31
}


(2)
{
  "formula": "ThScTlRu",
  "functional": "PBE-GGA",
  "state": "relaxed",
  "lattice": [[3.374, 0.000, 0.000], [0.000, 3.374, 0.000], [0.000, 0.000, 8.006]],
  "species": ["Ru", "Tl", "Sc", "Th"],
  "fractional_positions": [[0.000, 0.000, 0.544], [0.000, 0.000, 0.101], [0.500, 0.500, 0.360], [0.500, 0.500, 0.779]],
  "spacegroup": "P4mm"
}


(3)
{
  "formula": "Th2ScURu6",
  "functional": "PBE-GGA",
  "state": "relaxed",
  "lattice": [[6.698, 0.000, 0.000], [0.000, 6.698, 0.000], [3.349, 3.349, 4.736]],
  "species": ["Th", "Th", "Ru", "Ru", "Ru", "Ru", "Ru", "Ru", "U", "Sc"],
  "fractional_positions": [[0.750, 0.250, 0.500], [0.250, 0.750, 0.500], [0.750, 0.750, 0.000], [0.250, 0.750, 0.000], [0.750, 0.250, 0.000], [0.250, 0.250, 0.500], [0.250, 0.250, 0.000], [0.750, 0.750, 0.500], [0.000, 0.000, 0.000], [0.500, 0.500, 0.000]],
  "spacegroup": "Fm-3m"
}


(4)
{
  "formula": "ThScZnRu",
  "functional": "PBE-GGA",
  "state": "relaxed",
  "lattice": [[4.904, 0.000, 0.000], [2.452, 4.247, 0.000], [2.452, 1.416, 4.004]],
  "species": ["Zn", "Sc", "Ru", "Th"],
  "fractional_positions": [[0.250, 0.250, 0.250], [0.000, 0.000, 0.000], [0.750, 0.750, 0.750], [0.500, 0.500, 0.500]],
  "spacegroup": "F-43m"
}


Number 1: E -61.37 eV per cell, calculated formation energy -332 meV/atom. Number 2: E -26.97 eV per cell, calculated formation energy -395 meV/atom. Number 3: E -84.61 eV per cell, calculated formation energy 351 meV/atom. Number 4: E -25.63 eV per cell, calculated formation energy -333 meV/atom.